[1]
A crystal of Cu2NiRh relaxed with PBEsol, computed with SCAN.

abc: 2.592 2.592 6.981
angles: 90.00 90.00 90.00
Space group P4mm (No. 99)
One atom of each set of equivalent atoms:
Cu1 0.000 0.000 0.000
Cu2 0.500 0.500 0.243
Ni1 0.000 0.000 0.483
Rh1 0.500 0.500 0.732

The value obtained for the total energy is -20.039 eV/atom. For the density of states at the Fermi level, the calculation gives 2.24 states/eV per cell. As for the energy relative to the elements: 18 kJ/mol of formula units. The calculation puts the theoretical density at 10.22 g cm⁻³. As for the spin magnetization: 0.3757 μB/atom. The calculation puts the energy relative to the lowest polymorph listed for this composition at 0.005 eV/atom.

[2]
A crystal of Cu2NiRh relaxed with PBEsol, computed with SCAN.

abc: 2.635 4.225 8.426
angles: 90.00 90.00 90.00
Space group Immm (No. 71)
One atom of each set of equivalent atoms:
Cu1 0.000 0.000 0.240
Ni1 0.000 0.500 0.500
Rh1 0.000 0.500 0.000

The value obtained for the total energy is -19.977 eV/atom. For the density of states at the Fermi level, the calculation gives 9.70 states/eV per cell. As for the energy relative to the elements: 42 kJ/mol of formula units. The calculation puts the theoretical density at 10.22 g cm⁻³. As for the spin magnetization: 0.0007 μB/atom. The calculation puts the energy relative to the lowest polymorph listed for this composition at 0.067 eV/atom.

[3]
A crystal of Cu2NiRh relaxed with PBEsol, computed with SCAN.

abc: 2.646 4.210 4.228
angles: 90.00 90.00 90.00
Space group Pmmm (No. 47)
One atom of each set of equivalent atoms:
Cu1 0.000 0.000 0.000
Cu2 0.500 0.500 0.000
Ni1 0.000 0.500 0.500
Rh1 0.500 0.000 0.500

The value obtained for the total energy is -19.972 eV/atom. For the density of states at the Fermi level, the calculation gives 4.27 states/eV per cell. As for the energy relative to the elements: 44 kJ/mol of formula units. The calculation puts the theoretical density at 10.18 g cm⁻³. As for the spin magnetization: 0.0002 μB/atom. The calculation puts the energy relative to the lowest polymorph listed for this composition at 0.072 eV/atom.

[4]
A crystal of Cu2NiRh relaxed with PBEsol, computed with SCAN.

abc: 2.5654 2.5654 24.7871
angles: 90.00 90.00 120.00
Space group R-3m (No. 166, hexagonal axes)
One atom of each set of equivalent atoms:
Cu1 0.0000 0.0000 0.2465
Ni1 0.0000 0.0000 0.5000
Rh1 0.0000 0.0000 0.0000

The value obtained for the total energy is -20.000 eV/atom. For the density of states at the Fermi level, the calculation gives 10.56 states/eV per cell. As for the energy relative to the elements: 33 kJ/mol of formula units. The calculation puts the theoretical density at 10.18 g cm⁻³. As for the spin magnetization: 0.2479 μB/atom. The calculation puts the energy relative to the lowest polymorph listed for this composition at 0.044 eV/atom.

[5]
A crystal of Cu2NiRh relaxed with PBEsol, computed with SCAN.

abc: 2.574 3.553 5.134
angles: 90.00 90.00 90.00
Space group Pmm2 (No. 25)
One atom of each set of equivalent atoms:
Cu1 0.000 0.000 0.000
Cu2 0.500 0.500 0.237
Ni1 0.500 0.500 0.747
Rh1 0.000 0.000 0.507

The value obtained for the total energy is -20.025 eV/atom. For the density of states at the Fermi level, the calculation gives 2.97 states/eV per cell. As for the energy relative to the elements: 23 kJ/mol of formula units. The calculation puts the theoretical density at 10.21 g cm⁻³. As for the spin magnetization: 0.3676 μB/atom. The calculation puts the energy relative to the lowest polymorph listed for this composition at 0.019 eV/atom.

[6]
A crystal of Cu2NiRh relaxed with PBEsol, computed with SCAN.

abc: 3.581 3.581 7.317
angles: 90.00 90.00 90.00
Space group I4/mmm (No. 139)
One atom of each set of equivalent atoms:
Cu1 0.000 0.500 0.250
Ni1 0.000 0.000 0.000
Rh1 0.000 0.000 0.500

The value obtained for the total energy is -19.975 eV/atom. For the density of states at the Fermi level, the calculation gives 10.88 states/eV per cell. As for the energy relative to the elements: 43 kJ/mol of formula units. The calculation puts the theoretical density at 10.22 g cm⁻³. As for the spin magnetization: 0.3382 μB/atom. The calculation puts the energy relative to the lowest polymorph listed for this composition at 0.070 eV/atom.

[7]
A crystal of Cu2NiRh relaxed with PBEsol, computed with SCAN.

abc: 2.614 4.305 8.466
angles: 90.00 90.00 90.00
Space group Cmmm (No. 65)
One atom of each set of equivalent atoms:
Cu1 0.000 0.000 0.239
Ni1 0.000 0.500 0.000
Rh1 0.000 0.500 0.500

The value obtained for the total energy is -19.923 eV/atom. For the density of states at the Fermi level, the calculation gives 7.56 states/eV per cell. As for the energy relative to the elements: 63 kJ/mol of formula units. The calculation puts the theoretical density at 10.06 g cm⁻³. As for the spin magnetization: 0.2422 μB/atom. The calculation puts the energy relative to the lowest polymorph listed for this composition at 0.121 eV/atom.

[8]
A crystal of Cu2NiRh relaxed with PBEsol, computed with SCAN.

abc: 5.063 7.252 2.562
angles: 90.00 90.00 90.00
Space group Cmmm (No. 65)
One atom of each set of equivalent atoms:
Cu1 0.250 0.250 0.000
Ni1 0.000 0.000 0.500
Rh1 0.000 0.500 0.500

The value obtained for the total energy is -19.982 eV/atom. For the density of states at the Fermi level, the calculation gives 5.72 states/eV per cell. As for the energy relative to the elements: 40 kJ/mol of formula units. The calculation puts the theoretical density at 10.19 g cm⁻³. As for the spin magnetization: 0.3662 μB/atom. The calculation puts the energy relative to the lowest polymorph listed for this composition at 0.062 eV/atom.

[9]
A crystal of Cu2NiRh relaxed with PBEsol, computed with SCAN.

abc: 8.415 2.589 4.398
angles: 90.00 101.13 90.00
Space group Cm (No. 8)
One atom of each set of equivalent atoms:
Cu1 0.000 0.000 0.000
Cu2 0.250 0.000 0.775
Ni1 0.002 0.500 0.505
Rh1 0.254 0.500 0.281

The value obtained for the total energy is -20.018 eV/atom. For the density of states at the Fermi level, the calculation gives 6.05 states/eV per cell. As for the energy relative to the elements: 26 kJ/mol of formula units. The calculation puts the theoretical density at 10.20 g cm⁻³. As for the spin magnetization: 0.3369 μB/atom. The calculation puts the energy relative to the lowest polymorph listed for this composition at 0.026 eV/atom.

[10]
A crystal of CuNiRu2 relaxed with PBEsol, computed with SCAN.

abc: 3.593 3.593 3.783
angles: 90.00 90.00 90.00
Space group P4/mmm (No. 123)
One atom of each set of equivalent atoms:
Cu1 0.000 0.000 0.000
Ni1 0.500 0.500 0.000
Ru1 0.000 0.500 0.500

The value obtained for the total energy is -24.948 eV/atom. For the density of states at the Fermi level, the calculation gives 4.27 states/eV per cell. As for the energy relative to the elements: 119 kJ/mol of formula units. The calculation puts the theoretical density at 11.03 g cm⁻³. As for the spin magnetization: 0.0001 μB/atom.

[11]
A crystal of CuNiS2 relaxed with PBEsol, computed with SCAN.

abc: 5.044 5.044 10.097
angles: 90.00 90.00 90.00
Space group I-42d (No. 122)
One atom of each set of equivalent atoms:
Cu1 0.000 0.000 0.000
Ni1 0.000 0.000 0.500
S1 0.235 0.250 0.625

The formation energy from raw total energies is -7.567 kcal/mol of atoms. The value obtained for the total energy is -12.985 eV/atom. For the density of states at the Fermi level, the calculation gives 14.45 states/eV per cell. The calculation puts the theoretical density at 4.82 g cm⁻³. As for the spin magnetization: 0.0000 μB/atom.

[12]
A crystal of CuNiS2 relaxed with PBEsol, computed with SCAN.

abc: 5.872 5.872 5.872
angles: 90.00 90.00 90.00
Space group Fm-3m (No. 225)
One atom of each set of equivalent atoms:
Cu1 0.000 0.000 0.000
Ni1 0.000 0.000 0.500
S1 0.250 0.250 0.250

The formation energy from raw total energies is 7.949 kcal/mol of atoms. The value obtained for the total energy is -12.312 eV/atom. For the density of states at the Fermi level, the calculation gives 10.69 states/eV per cell. The calculation puts the theoretical density at 6.12 g cm⁻³. As for the spin magnetization: 0.2636 μB/atom.

[13]
A crystal of Cu4Si2NiS7 relaxed with PBEsol, computed with SCAN.

abc: 11.376 5.196 8.053
angles: 90.00 98.68 90.00
Space group C2 (No. 5)
One atom of each set of equivalent atoms:
Cu1 0.139 0.000 0.432
Cu2 0.210 0.513 0.140
Si1 0.074 0.526 0.719
Ni1 0.000 0.020 0.000
S1 0.000 0.282 0.500
S2 0.064 0.762 0.210
S3 0.139 0.264 0.917
S4 0.216 0.749 0.647

The formation energy from raw total energies is -12.279 kcal/mol of atoms. The value obtained for the total energy is -12.275 eV/atom. For the density of states at the Fermi level, the calculation gives 6.18 states/eV per cell. The calculation puts the theoretical density at 4.19 g cm⁻³. As for the spin magnetization: 0.1380 μB/atom.

[14]
A crystal of Cu2NiSn3S8 relaxed with PBEsol, computed with SCAN.

abc: 7.2576 7.2576 17.5567
angles: 90.00 90.00 120.00
Space group R-3m (No. 166, hexagonal axes)
One atom of each set of equivalent atoms:
Cu1 0.0000 0.0000 0.1154
Ni1 0.0000 0.0000 0.5000
Sn1 0.0000 0.5000 0.0000
S1 0.0000 0.0000 0.2471
S2 0.0209 0.5104 0.2454

The formation energy from raw total energies is -10.478 kcal/mol of atoms. The value obtained for the total energy is -16.980 eV/atom. The calculation puts the theoretical density at 4.97 g cm⁻³. As for the spin magnetization: 0.1425 μB/atom.

[15]
A crystal of SrCu2NiS relaxed with PBEsol, computed with SCAN.

abc: 4.985 4.985 4.620
angles: 90.00 90.00 90.00
Space group P4/mmm (No. 123)
One atom of each set of equivalent atoms:
Sr1 0.000 0.000 0.000
Cu1 0.000 0.500 0.000
Ni1 0.000 0.000 0.500
S1 0.500 0.500 0.500

The formation energy from raw total energies is 43.606 kcal/mol of atoms. The value obtained for the total energy is -13.804 eV/atom. For the density of states at the Fermi level, the calculation gives 2.66 states/eV per cell. The calculation puts the theoretical density at 4.42 g cm⁻³. As for the spin magnetization: 0.0000 μB/atom.